{
  "formula": "Sr2La3Fe4CuO15",
  "functional": "GGA+U",
  "state": "optimized geometry",
  "mass_density_g_cm3": 6.195,
  "e_tot_ev_per_atom": -6.926,
  "lattice": [[2.769, 1.599, 11.290], [-2.769, 1.599, 11.290], [0.000, -3.198, 11.290]],
  "species": ["Sr", "Sr", "La", "La", "La", "Fe", "Fe", "Fe", "Fe", "Cu", "O", "O", "O", "O", "O", "O", "O", "O", "O", "O", "O", "O", "O", "O", "O"],
  "fractional_positions": [[0.099, 0.099, 0.099], [0.901, 0.901, 0.901], [0.302, 0.302, 0.302], [0.500, 0.500, 0.500], [0.698, 0.698, 0.698], [0.200, 0.200, 0.200], [0.400, 0.400, 0.400], [0.600, 0.600, 0.600], [0.800, 0.800, 0.800], [0.000, 0.000, 0.000], [0.000, 0.000, 0.500], [0.000, 0.500, 0.000], [0.101, 0.600, 0.600], [0.204, 0.204, 0.688], [0.204, 0.688, 0.204], [0.312, 0.796, 0.796], [0.400, 0.400, 0.899], [0.400, 0.899, 0.400], [0.500, 0.000, 0.000], [0.600, 0.101, 0.600], [0.600, 0.600, 0.101], [0.688, 0.204, 0.204], [0.796, 0.312, 0.796], [0.796, 0.796, 0.312], [0.899, 0.400, 0.400]]
}